Entry 1:
Density functional theory data (PBE) for a relaxed structure of HfFeAsPd.

Results
Raw total energy: -29.28 eV for the cell shown
Calculated volume: 16.16 Å³ per atom
Distance to the lowest polymorph of the same formula: 0.0 meV/atom

The structure in CIF format:
```
data_HfFeAsPd
_chemical_formula_sum 'Hf1 Fe1 As1 Pd1'
_cell_length_a 4.504
_cell_length_b 4.504
_cell_length_c 4.504
_cell_angle_alpha 60.00
_cell_angle_beta 60.00
_cell_angle_gamma 60.00
_symmetry_space_group_name_H-M 'P 1'
_symmetry_Int_Tables_number 1
loop_
_symmetry_equiv_pos_as_xyz
'x,y,z'
loop_
_atom_site_label
_atom_site_type_symbol
_atom_site_fract_x
_atom_site_fract_y
_atom_site_fract_z
Fe1 Fe 0.750 0.750 0.750
Hf1 Hf 0.250 0.250 0.250
As1 As 0.000 0.000 0.000
Pd1 Pd 0.500 0.500 0.500
```

Entry 2:
Density functional theory data (PBE) for a relaxed structure of HfFeAsPd.

Results
Raw total energy: -29.06 eV for the cell shown
Calculated volume: 15.81 Å³ per atom
Distance to the lowest polymorph of the same formula: 56.1 meV/atom

The structure in CIF format:
```
data_HfFeAsPd
_chemical_formula_sum 'Hf1 Fe1 As1 Pd1'
_cell_length_a 4.472
_cell_length_b 4.472
_cell_length_c 4.472
_cell_angle_alpha 60.00
_cell_angle_beta 60.00
_cell_angle_gamma 60.00
_symmetry_space_group_name_H-M 'P 1'
_symmetry_Int_Tables_number 1
loop_
_symmetry_equiv_pos_as_xyz
'x,y,z'
loop_
_atom_site_label
_atom_site_type_symbol
_atom_site_fract_x
_atom_site_fract_y
_atom_site_fract_z
Hf1 Hf 0.500 0.500 0.500
As1 As 0.000 0.000 0.000
Pd1 Pd 0.250 0.250 0.250
Fe1 Fe 0.750 0.750 0.750
```

Entry 3:
Density functional theory data (PBE) for a relaxed structure of HfZr2Fe2As4Pd2.

Results
Raw total energy: -80.56 eV for the cell shown
Calculated volume: 17.39 Å³ per atom

The structure in CIF format:
```
data_HfZr2Fe2As4Pd2
_chemical_formula_sum 'Hf1 Zr2 Fe2 As4 Pd2'
_cell_length_a 6.570
_cell_length_b 3.876
_cell_length_c 7.510
_cell_angle_alpha 90.00
_cell_angle_beta 90.12
_cell_angle_gamma 90.00
_symmetry_space_group_name_H-M 'P 1'
_symmetry_Int_Tables_number 1
loop_
_symmetry_equiv_pos_as_xyz
'x,y,z'
loop_
_atom_site_label
_atom_site_type_symbol
_atom_site_fract_x
_atom_site_fract_y
_atom_site_fract_z
Pd1 Pd 0.840 0.000 0.443
Pd2 Pd 0.146 0.500 0.567
As1 As 0.247 0.000 0.359
As2 As 0.746 0.000 0.090
As3 As 0.249 0.500 0.885
As4 As 0.758 0.500 0.660
Fe1 Fe 0.376 0.000 0.052
Fe2 Fe 0.611 0.500 0.954
Zr1 Zr 0.537 0.500 0.320
Zr2 Zr 0.026 0.500 0.177
Hf1 Hf 0.465 0.000 0.690
```

- Among the records above, which one has the lowest raw total energy?
  HfZr2Fe2As4Pd2

- Among the records above, which one has the lowest calculated volume?
  number 2